1.
{"formula": "P2RuRh", "functional": "PBE", "state": "optimized geometry", "lattice": [[1.448, -2.583, 0.000], [1.448, 2.583, 0.000], [0.000, 0.000, 7.610]], "species": ["P", "P", "Ru", "Rh"], "frac_coords": [[0.000, 0.000, 0.248], [0.000, 0.000, 0.752], [0.500, 0.500, 0.000], [0.500, 0.500, 0.500]], "relative_energy_mev_per_atom": 471.4}



2.
{"formula": "PRu2Rh", "functional": "PBE", "state": "optimized geometry", "lattice": [[1.399, 0.808, 8.022], [-1.399, 0.808, 8.022], [0.000, -1.616, 8.022]], "species": ["P", "Ru", "Ru", "Rh"], "frac_coords": [[0.000, 0.000, 0.000], [0.259, 0.259, 0.259], [0.741, 0.741, 0.741], [0.500, 0.500, 0.500]]}



3.
{"formula": "PRu2Rh", "functional": "PBE", "state": "optimized geometry", "lattice": [[1.397, 0.806, 8.047], [-1.397, 0.806, 8.047], [0.000, -1.613, 8.047]], "species": ["P", "Ru", "Ru", "Rh"], "frac_coords": [[0.000, 0.000, 0.000], [0.497, 0.497, 0.497], [0.740, 0.740, 0.740], [0.258, 0.258, 0.258]]}



4.
{"formula": "P2RuRh", "functional": "PBE", "state": "optimized geometry", "lattice": [[2.873, 0.000, 0.000], [0.000, 2.873, 0.000], [0.000, 0.000, 7.550]], "species": ["P", "P", "Ru", "Rh"], "frac_coords": [[0.000, 0.000, 0.000], [0.500, 0.500, 0.384], [0.500, 0.500, 0.835], [0.000, 0.000, 0.558]], "relative_energy_mev_per_atom": 218.8}



Formation energy from the elements? In order: 7.7 -6.6 -8.0 -16.6 kJ per mole of atoms.